DFT (PBE) results for a relaxed structure of HfZn4Ni.

Calculated values
relative energy among the computed polymorphs	1.5	kJ per mole of atoms
density	8.7	g/cm3
DFT formation energy	-1.50	kJ per mole of atoms
N(E_F)	0.51	states/eV per atom

Cell lengths 4.8106, 6.2725, 7.4127 Å; angles 115.03, 108.85, 90.00 degrees
Element x y z (fractional)
Hf (0.2097, 0.2101, 0.4202)
Hf (0.7903, 0.7899, 0.5798)
Zn (0.8295, 0.3307, 0.6614)
Zn (0.6143, 0.3294, 0.2304)
Zn (0.0000, 0.1838, 0.0000)
Zn (0.3857, 0.0990, 0.7696)
Zn (0.1705, 0.6693, 0.3386)
Zn (0.3857, 0.6706, 0.7696)
Zn (0.0000, 0.8162, 0.0000)
Zn (0.6143, 0.9010, 0.2304)
Ni (0.7365, 0.5006, 0.0011)
Ni (0.2635, 0.4994, 0.9989)